A geometry-optimized TiIn2BrCl structure, computed with PBE.

Raw formation energy, kJ/mol of atoms: 34.64
Final energy, eV per atom: -3.02

a b c (Å): 6.049 5.479 6.049
angles (deg): 90.00 90.00 90.00
Each line ends with the local moment (μB).
Fractional positions:
Cl1 0.500 0.500 0.500  0.05
Ti1 0.000 0.500 0.000  2.18
Br1 0.000 0.000 0.000  0.01
In1 0.000 0.000 0.500  0.06
In2 0.500 0.000 0.000  0.08


A geometry-optimized BaTiAs2 structure, computed with PBE.

E_form, eV/atom: -0.8673
Distance to the lowest polymorph of the same formula, eV/atom: 0.000
Final energy, eV per atom: -5.65

a b c (Å): 4.006 4.006 7.620
angles (deg): 74.76 74.76 60.00
Fractional positions:
As1 0.272 0.272 0.185
As2 0.728 0.728 0.815
Ba1 0.500 0.500 0.500
Ti1 0.000 0.000 0.000


A geometry-optimized Li4AuN structure, computed with PBE.

Raw formation energy, kJ/mol of atoms: -36.43
Final energy, eV per atom: -3.59

a b c (Å): 4.910 5.471 6.900
angles (deg): 107.64 110.86 89.97
Fractional positions:
Li1 0.489 0.039 0.783
Li2 0.706 0.462 0.217
Li3 0.511 0.961 0.217
Li4 0.294 0.538 0.783
Li5 0.845 0.824 0.593
Li6 0.253 0.676 0.408
Li7 0.155 0.176 0.407
Li8 0.747 0.324 0.592
Au1 0.877 0.750 0.000
Au2 0.123 0.250 0.000
N1 0.500 0.000 0.500
N2 0.000 0.500 0.500


A geometry-optimized TcSbTe2H structure, computed with PBE.

Distance to the lowest polymorph of the same formula, eV/atom: 0.000
Final energy, eV per atom: -3.97

a b c (Å): 5.083 5.083 3.761
angles (deg): 90.00 90.00 90.00
Fractional positions:
Sb1 0.000 0.000 0.500
Te1 0.000 0.500 0.000
Te2 0.500 0.000 0.000
Tc1 0.500 0.500 0.500
H1 0.000 0.000 0.000


A geometry-optimized HfSi2Hg structure, computed with PBE.

Raw formation energy, kJ/mol of atoms: 28.85
Final energy, eV per atom: -4.98

a b c (Å): 7.236 7.236 5.925
angles (deg): 52.37 52.37 90.00
Fractional positions:
Si1 0.639 0.125 0.250
Si2 0.111 0.625 0.250
Si3 0.375 0.361 0.750
Si4 0.875 0.889 0.750
Hf1 0.500 0.500 0.000
Hf2 0.250 0.750 0.500
Hg1 0.000 0.000 0.000
Hg2 0.750 0.250 0.500


A geometry-optimized Pr3Y3Th structure, computed with PBE.

E_form, eV/atom: 0.1318
Final energy, eV per atom: -5.75

a b c (Å): 3.613 11.547 16.030
angles (deg): 132.86 90.00 90.00
Fractional positions:
Pr1 0.250 0.335 0.365
Pr2 0.750 0.665 0.635
Pr3 0.250 0.840 0.887
Pr4 0.750 0.160 0.113
Pr5 0.250 0.441 0.883
Pr6 0.750 0.559 0.117
Y1 0.250 0.429 0.662
Y2 0.750 0.571 0.338
Y3 0.250 0.863 0.587
Y4 0.750 0.137 0.413
Y5 0.250 0.885 0.146
Y6 0.750 0.115 0.854
Th1 0.250 0.855 0.370
Th2 0.750 0.145 0.630